A plane-wave DFT calculation with PBE was carried out for a relaxed NiSnBi2P crystal.

a b c (Å): 5.188 4.804 5.188
angles (deg): 90.00 90.00 90.00
Fractional positions:
Sn  0.000  0.500  0.000
P  0.500  0.500  0.500
Ni  0.000  0.000  0.000
Bi  0.000  0.000  0.500
Bi  0.500  0.000  0.000

Properties
Density of states at the Fermi level, states/eV per cell: 3.16
Total DFT energy (no corrections), eV per cell: -20.8
DFT formation energy, eV/f.u.: 2.20
Symmetry: P4/mmm
V, Å³/atom: 25.86
Total moment, μB per atom: 0.000

---

A plane-wave DFT calculation with PBE was carried out for a relaxed AcTlF4 crystal.

a b c (Å): 6.346 6.346 7.474
angles (deg): 115.12 115.12 90.00
Fractional positions:
F  0.375  0.833  0.250
F  0.583  0.125  0.750
Tl  0.000  0.000  0.000
F  0.875  0.417  0.250
Ac  0.250  0.750  0.500
Ac  0.500  0.500  0.000
F  0.167  0.125  0.750
F  0.875  0.833  0.250
F  0.167  0.625  0.750
F  0.375  0.417  0.250
Tl  0.750  0.250  0.500
F  0.583  0.625  0.750

Properties
Density of states at the Fermi level, states/eV per cell: 0.00
Total DFT energy (no corrections), eV per cell: -68.6
Formation energy from raw total energies, eV per atom: -3.390
Symmetry: I4_1/amd
V, Å³/atom: 20.06
Total moment, μB per atom: 0.000

---

A plane-wave DFT calculation with PBE was carried out for a relaxed VCu2As crystal.

a b c (Å): 4.055 3.623 3.623
angles (deg): 90.00 90.00 90.00
Fractional positions:
V  0.500  0.500  0.500
Cu  0.000  0.000  0.500
As  0.500  0.000  0.000
Cu  0.000  0.500  0.000

Properties
Density of states at the Fermi level, states/eV per cell: 3.15
Total DFT energy (no corrections), eV per cell: -22.0
DFT formation energy, eV/f.u.: -0.05
Symmetry: P4/mmm
V, Å³/atom: 13.30
Total moment, μB per atom: 0.186

---

Which value of V does entry 3 give?
13.30 Å³/atom